Material: NaGaCBr2
Method: DFT, PBE
State: optimized geometry

a b c (Å): 5.701 5.701 3.645
angles (deg): 90.00 90.00 90.00
Fractional positions:
Na (0.000, 0.000, 0.000)
Ga (0.500, 0.500, 0.000)
C (0.500, 0.500, 0.500)
Br (0.000, 0.500, 0.500)
Br (0.500, 0.000, 0.500)

Energy = -3.14 eV per atom
SG = P4/mmm (123)
Total magnetic moment = 0.00 μB per formula unit
DOS(E_F) = 0.248 states/eV/atom

=====

Material: NbGaC2Br
Method: DFT, PBE
State: optimized geometry

a b c (Å): 4.199 4.199 5.588
angles (deg): 90.00 90.00 90.00
Fractional positions:
Nb (0.000, 0.000, 0.000)
Ga (0.500, 0.500, 0.500)
C (0.000, 0.500, 0.000)
C (0.500, 0.000, 0.000)
Br (0.000, 0.000, 0.500)

Energy = -5.52 eV per atom
SG = P4/mmm (123)
Total magnetic moment = 0.00 μB per formula unit
DOS(E_F) = 0.413 states/eV/atom

=====

Material: Nd4GaCBr2
Method: DFT, PBE
State: optimized geometry

a b c (Å): 7.303 3.902 7.851
angles (deg): 90.00 106.58 90.00
Fractional positions:
Nd (0.203, 0.000, 0.186)
Nd (0.229, 0.500, 0.793)
Nd (0.771, 0.500, 0.207)
Nd (0.797, 0.000, 0.814)
Ga (0.500, 0.000, 0.000)
C (0.000, 0.500, 0.000)
Br (0.000, 0.000, 0.500)
Br (0.500, 0.500, 0.500)

Energy = -5.18 eV per atom
SG = P2/m (10)
Total magnetic moment = 0.00 μB per formula unit
DOS(E_F) = 0.390 states/eV/atom